Record 1
Compound: Pr3ThSi4
Source: Alexandria via LeMat-Bulk
Functional: PBE
Structure: optimized geometry

Unit cell a=4.2086 b=6.4628 c=16.1359 alpha=90.00 beta=90.00 gamma=90.00
Space group Immm (No. 71)
Unique sites:
Pr1 0.0000 0.0000 0.0000
Pr2 0.0000 0.5000 0.1929
Th1 0.0000 0.0000 0.5000
Si1 0.0000 0.3187 0.3690

Computed properties:
* E_form (uncorrected): -0.4935 eV per atom
* uncorrected energy: -94.80 eV/cell
* Fermi-level density of states: 0.714 states/eV/atom

=====

Record 2
Compound: PrTh2Si6
Source: Alexandria via LeMat-Bulk
Functional: PBE
Structure: optimized geometry

Unit cell a=7.1484 b=7.1484 c=4.1988 alpha=90.00 beta=90.00 gamma=120.00
Space group P6/mmm (No. 191)
Unique sites:
Pr1 0.0000 0.0000 0.0000
Th1 0.3333 0.6667 0.0000
Si1 0.0000 0.3344 0.5000

Computed properties:
* E_form (uncorrected): -0.6019 eV per atom
* uncorrected energy: -57.57 eV/cell
* Fermi-level density of states: 0.689 states/eV/atom

=====

Record 3
Compound: Pr3Th3Si4
Source: Alexandria via LeMat-Bulk
Functional: PBE
Structure: optimized geometry

Unit cell a=4.2198 b=11.0708 c=11.1951 alpha=90.00 beta=90.00 gamma=90.00
Space group Amm2 (No. 38)
Unique sites:
Pr1 0.0000 0.0000 0.0000
Pr2 0.5000 0.2501 0.0748
Th1 0.0000 0.0000 0.6433
Th2 0.0000 0.1792 0.3244
Si1 0.5000 0.0000 0.2158
Si2 0.5000 0.0000 0.4370
Si3 0.5000 0.1124 0.8205

Computed properties:
* E_form (uncorrected): -0.6289 eV per atom
* uncorrected energy: -129.16 eV/cell
* Fermi-level density of states: 0.874 states/eV/atom

=====

Record 4
Compound: Pr5ThSi4
Source: Alexandria via LeMat-Bulk
Functional: PBE
Structure: optimized geometry

Unit cell a=19.2183 b=4.4305 c=8.0192 alpha=90.00 beta=114.28 gamma=90.00
Space group C2/m (No. 12)
Unique sites:
Pr1 0.0000 0.0000 0.0000
Pr2 0.1619 0.5000 0.9318
Pr3 0.1699 0.5000 0.4437
Th1 0.0000 0.0000 0.5000
Si1 0.0059 0.5000 0.2544
Si2 0.1838 0.0000 0.7028

Computed properties:
* E_form (uncorrected): -0.4223 eV per atom
* uncorrected energy: -114.47 eV/cell
* Fermi-level density of states: 0.802 states/eV/atom

=====

Record 5
Compound: PrTh4Si4
Source: Alexandria via LeMat-Bulk
Functional: PBE
Structure: optimized geometry

Unit cell a=9.2342 b=9.2342 c=5.9864 alpha=90.00 beta=90.00 gamma=90.00
Space group P4_2/n (No. 86, origin choice 2)
Unique sites:
Pr1 0.2500 0.2500 0.2500
Th1 0.0793 0.6521 0.1215
Si1 0.0262 0.6115 0.6207

Computed properties:
* E_form (uncorrected): -0.3685 eV per atom
* uncorrected energy: -118.93 eV/cell
* Fermi-level density of states: 0.825 states/eV/atom

=====

Record 6
Compound: PrThSi3
Source: Alexandria via LeMat-Bulk
Functional: PBE
Structure: optimized geometry

Unit cell a=4.3488 b=24.9321 c=4.1049 alpha=90.00 beta=90.00 gamma=90.00
Space group Cmcm (No. 63)
Unique sites:
Pr1 0.0000 0.0686 0.2500
Th1 0.0000 0.2024 0.7500
Si1 0.0000 0.3258 0.7500
Si2 0.0000 0.3815 0.2500
Si3 0.0000 0.4765 0.2500

Computed properties:
* E_form (uncorrected): -0.6351 eV per atom
* uncorrected energy: -126.57 eV/cell
* Fermi-level density of states: 0.589 states/eV/atom

=====

Record 7
Compound: PrTiSi2
Source: Alexandria via LeMat-Bulk
Functional: PBE
Structure: optimized geometry

Unit cell a=4.2408 b=4.2408 c=16.1046 alpha=90.00 beta=90.00 gamma=120.00
Space group R-3m (No. 166, hexagonal axes)
Unique sites:
Pr1 0.0000 0.0000 0.0000
Ti1 0.0000 0.0000 0.5000
Si1 0.0000 0.0000 0.2222

Computed properties:
* E_form (uncorrected): -0.4839 eV per atom
* uncorrected energy: -76.37 eV/cell
* Fermi-level density of states: 0.658 states/eV/atom

=====

Record 8
Compound: Pr6TlSi2
Source: Alexandria via LeMat-Bulk
Functional: PBE
Structure: optimized geometry

Unit cell a=9.9359 b=10.2517 c=10.6636 alpha=90.00 beta=90.00 gamma=90.00
Space group Immm (No. 71)
Unique sites:
Pr1 0.0000 0.2065 0.2403
Pr2 0.2052 0.5000 0.1799
Pr3 0.2228 0.3151 0.5000
Tl1 0.0000 0.0000 0.0000
Tl2 0.0000 0.0000 0.5000
Si1 0.0000 0.3760 0.0000
Si2 0.0000 0.5000 0.3882

Computed properties:
* E_form (uncorrected): -0.4483 eV per atom
* uncorrected energy: -183.69 eV/cell
* Fermi-level density of states: 0.899 states/eV/atom

=====

Record 9
Compound: Pr4TlSi
Source: Alexandria via LeMat-Bulk
Functional: PBE
Structure: optimized geometry

Unit cell a=6.0830 b=6.9458 c=8.8372 alpha=90.00 beta=98.43 gamma=90.00
Space group P2_1/m (No. 11)
Unique sites:
Pr1 0.1416 0.0136 0.2543
Pr2 0.3395 0.2500 0.6437
Pr3 0.3531 0.7500 0.9529
Tl1 0.2727 0.7500 0.5810
Si1 0.1566 0.2500 0.9594

Computed properties:
* E_form (uncorrected): -0.3576 eV per atom
* uncorrected energy: -58.11 eV/cell
* Fermi-level density of states: 0.959 states/eV/atom

=====

Record 10
Compound: Pr12TlSi5
Source: Alexandria via LeMat-Bulk
Functional: PBE
Structure: optimized geometry

Unit cell a=9.8692 b=10.0847 c=10.7013 alpha=90.00 beta=90.00 gamma=90.00
Space group Immm (No. 71)
Unique sites:
Pr1 0.0000 0.1986 0.2306
Pr2 0.2045 0.5000 0.1806
Pr3 0.2291 0.3187 0.5000
Tl1 0.0000 0.0000 0.5000
Si1 0.0000 0.0000 0.0000
Si2 0.0000 0.3785 0.0000
Si3 0.0000 0.5000 0.3882

Computed properties:
* E_form (uncorrected): -0.4665 eV per atom
* uncorrected energy: -190.47 eV/cell
* Fermi-level density of states: 0.868 states/eV/atom

=====

Record 11
Compound: Pr2TlSi
Source: Alexandria via LeMat-Bulk
Functional: PBE
Structure: optimized geometry

Unit cell a=3.9334 b=3.9334 c=7.0483 alpha=90.00 beta=90.00 gamma=90.00
Space group P4/mmm (No. 123)
Unique sites:
Pr1 0.0000 0.0000 0.2196
Tl1 0.5000 0.5000 0.5000
Si1 0.5000 0.5000 0.0000

Computed properties:
* E_form (uncorrected): -0.4157 eV per atom
* uncorrected energy: -19.01 eV/cell
* Fermi-level density of states: 0.639 states/eV/atom

=====

Record 12
Compound: Pr2TlSi
Source: Alexandria via LeMat-Bulk
Functional: PBE
Structure: optimized geometry

Unit cell a=4.2985 b=4.2985 c=23.7001 alpha=90.00 beta=90.00 gamma=120.00
Space group R-3m (No. 166, hexagonal axes)
Unique sites:
Pr1 0.0000 0.0000 0.2354
Tl1 0.0000 0.0000 0.0000
Si1 0.0000 0.0000 0.5000

Computed properties:
* E_form (uncorrected): -0.4019 eV per atom
* uncorrected energy: -56.87 eV/cell
* Fermi-level density of states: 1.066 states/eV/atom

=====

Record 13
Compound: PrTmSi
Source: Alexandria via LeMat-Bulk
Functional: PBE
Structure: optimized geometry

Unit cell a=7.9303 b=7.9303 c=4.3099 alpha=90.00 beta=90.00 gamma=120.00
Space group P-62m (No. 189)
Unique sites:
Pr1 0.0000 0.4036 0.0000
Tm1 0.0000 0.7413 0.5000
Si1 0.0000 0.0000 0.0000
Si2 0.3333 0.6667 0.5000

Computed properties:
* E_form (uncorrected): -0.5389 eV per atom
* uncorrected energy: -48.87 eV/cell
* Fermi-level density of states: 1.197 states/eV/atom
* offset from the most stable computed form: 0.00 eV/f.u.

=====

Record 14
Compound: PrTmSi
Source: Alexandria via LeMat-Bulk
Functional: PBE
Structure: optimized geometry

Unit cell a=4.7052 b=4.7052 c=4.2638 alpha=90.00 beta=90.00 gamma=120.00
Space group P3m1 (No. 156)
Unique sites:
Pr1 0.0000 0.0000 0.0000
Tm1 0.3333 0.6667 0.4761
Si1 0.6667 0.3333 0.6045

Computed properties:
* E_form (uncorrected): -0.3276 eV per atom
* uncorrected energy: -15.66 eV/cell
* Fermi-level density of states: 0.465 states/eV/atom
* offset from the most stable computed form: 0.63 eV/f.u.

=====

Record 15
Compound: Pr3TmSi2
Source: Alexandria via LeMat-Bulk
Functional: PBE
Structure: optimized geometry

Unit cell a=4.4288 b=4.5807 c=16.4125 alpha=90.00 beta=90.00 gamma=90.00
Space group Immm (No. 71)
Unique sites:
Pr1 0.0000 0.0000 0.0000
Pr2 0.0000 0.5000 0.3187
Tm1 0.0000 0.0000 0.5000
Si1 0.0000 0.5000 0.1309

Computed properties:
* E_form (uncorrected): -0.4826 eV per atom
* uncorrected energy: -65.10 eV/cell
* Fermi-level density of states: 1.027 states/eV/atom

=====

Record 16
Compound: PrTm4Si4
Source: Alexandria via LeMat-Bulk
Functional: PBE
Structure: optimized geometry

Unit cell a=9.1680 b=9.1680 c=5.6319 alpha=90.00 beta=90.00 gamma=90.00
Space group P4_2/n (No. 86, origin choice 2)
Unique sites:
Pr1 0.2500 0.2500 0.2500
Tm1 0.1028 0.6395 0.1287
Si1 0.0474 0.5918 0.6351

Computed properties:
* E_form (uncorrected): -0.4821 eV per atom
* uncorrected energy: -97.39 eV/cell
* Fermi-level density of states: 0.810 states/eV/atom

=====

Record 17
Compound: PrTmSi
Source: Alexandria via LeMat-Bulk
Functional: PBE
Structure: optimized geometry

Unit cell a=11.6667 b=4.2781 c=8.2041 alpha=90.00 beta=127.68 gamma=90.00
Space group C2/m (No. 12)
Unique sites:
Pr1 0.0846 0.0000 0.3561
Tm1 0.1797 0.5000 0.0780
Si1 0.1225 0.5000 0.6645

Computed properties:
* E_form (uncorrected): -0.5040 eV per atom
* uncorrected energy: -64.74 eV/cell
* Fermi-level density of states: 1.134 states/eV/atom
* offset from the most stable computed form: 0.10 eV/f.u.

=====

Record 18
Compound: PrTm2Si4
Source: Alexandria via LeMat-Bulk
Functional: PBE
Structure: optimized geometry

Unit cell a=3.8806 b=4.2739 c=17.4696 alpha=90.00 beta=90.00 gamma=90.00
Space group Immm (No. 71)
Unique sites:
Pr1 0.0000 0.0000 0.0000
Tm1 0.0000 0.5000 0.3165
Si1 0.0000 0.0000 0.4318
Si2 0.0000 0.5000 0.1522

Computed properties:
* E_form (uncorrected): -0.7435 eV per atom
* uncorrected energy: -81.24 eV/cell
* Fermi-level density of states: 0.453 states/eV/atom

=====

Record 19
Compound: PrTmSi
Source: Alexandria via LeMat-Bulk
Functional: PBE
Structure: optimized geometry

Unit cell a=6.9616 b=6.9616 c=6.9616 alpha=90.00 beta=90.00 gamma=90.00
Space group F-43m (No. 216)
Unique sites:
Pr1 0.0000 0.0000 0.0000
Tm1 0.0000 0.0000 0.5000
Si1 0.2500 0.2500 0.2500

Computed properties:
* E_form (uncorrected): -0.4233 eV per atom
* uncorrected energy: -63.78 eV/cell
* Fermi-level density of states: 0.734 states/eV/atom
* offset from the most stable computed form: 0.35 eV/f.u.

=====

Record 20
Compound: Pr2TmSi2
Source: Alexandria via LeMat-Bulk
Functional: PBE
Structure: optimized geometry

Unit cell a=7.5887 b=7.5887 c=4.4449 alpha=90.00 beta=90.00 gamma=90.00
Space group P4/mbm (No. 127)
Unique sites:
Pr1 0.1773 0.3227 0.0000
Tm1 0.0000 0.0000 0.5000
Si1 0.1147 0.6147 0.5000

Computed properties:
* E_form (uncorrected): -0.6837 eV per atom
* uncorrected energy: -56.59 eV/cell
* Fermi-level density of states: 0.817 states/eV/atom
* offset from the most stable computed form: 0.00 eV/f.u.